Material: NaSr2I
Method: DFT, PBE-GGA
State: relaxed

Summary:
As for the density of states at the Fermi level: 0.784 states/eV/atom. The calculation puts the total energy at -1.9973 eV per atom. The distance to the lowest polymorph of the same formula comes out at 0.39 eV per formula unit. For the formation energy without anion corrections, the calculation gives -0.4391 eV per atom.

Geometry as CIF:
```
data_NaSr2I
_cell_length_a 4.1850
_cell_length_b 4.1850
_cell_length_c 38.3527
_cell_angle_alpha 90.00
_cell_angle_beta 90.00
_cell_angle_gamma 120.00
_space_group_name_H-M_alt 'R -3 m'
_space_group_IT_number 166
_space_group_name_Hall '-R 3 2"'
loop_
_atom_site_label
_atom_site_type_symbol
_atom_site_fract_x
_atom_site_fract_y
_atom_site_fract_z
Na1 Na 0.0000 0.0000 0.0000
Sr1 Sr 0.0000 0.0000 0.0995
I1 I 0.0000 0.0000 0.5000
```